(1)
A relaxed structure of FeRe2Se. Source: Alexandria via LeMat-Bulk, functional PBE.

Summary:
- ρ: 14.182 g cm⁻³
- Uncorrected formation energy: 0.679 eV/atom
- E: -8.53 eV per atom

```
FeRe2Se
1.0
5.060 -0.114 0.203
-2.241 4.538 0.203
0.537 0.842 2.693
Re Fe Se
2 1 1
Direct
0.000 0.000 0.000
0.500 0.500 0.000
0.000 0.500 0.500
0.500 0.000 0.500
```

(2)
A relaxed structure of Na2PuZrSe4. Source: Alexandria via LeMat-Bulk, functional PBE.

Summary:
- ρ: 5.802 g cm⁻³
- Uncorrected formation energy: -1.356 eV/atom
- E: -6.29 eV per atom

```
Na2PuZrSe4
1.0
4.033 0.000 0.000
0.000 7.010 0.130
0.000 -2.447 7.010
Zr Se Na Pu
1 4 2 1
Direct
0.500 0.500 0.000
0.500 0.741 0.769
0.000 0.271 0.774
0.500 0.259 0.231
0.000 0.729 0.226
0.000 0.500 0.500
0.500 0.000 0.500
0.000 0.000 0.000
```

- Which formula does entry 1 have?
  FeRe2Se

- The highest uncorrected formation energy belongs to which entry?
  FeRe2Se